Material: LiPmPd6
Method: DFT, PBE
State: relaxed

Geometry as extended XYZ:
```
8
Lattice="3.3878 1.9559 3.7694 -3.3878 1.9559 3.7694 0.0000 -3.9119 3.7694" Properties=species:S:1:pos:R:3 pbc="T T T"
Li 0.0000 0.0000 0.0000
Pm 0.0000 0.0000 5.6541
Pd 0.0000 -1.5380 3.1179
Pd -1.3320 0.7690 3.1179
Pd -1.3320 -0.7690 8.1903
Pd 1.3320 0.7690 3.1179
Pd 1.3320 -0.7690 8.1903
Pd 0.0000 1.5380 8.1903
```

SG = R-3m, No. 166


Material: Li3Pm2Pd3
Method: DFT, PBE
State: relaxed

Geometry as extended XYZ:
```
16
Lattice="7.5734 0.0000 0.0000 -3.7867 6.5588 0.0000 0.0000 0.0000 7.3023" Properties=species:S:1:pos:R:3 pbc="T T T"
Li -0.8809 1.5257 1.8256
Li -2.9058 5.0330 5.4767
Li 1.7618 0.0000 1.8256
Li 0.8809 1.5257 5.4767
Li 5.8117 0.0000 5.4767
Li 2.9058 5.0330 1.8256
Pm 0.0000 4.3725 0.0000
Pm 0.0000 4.3725 3.6512
Pm 3.7867 2.1863 0.0000
Pm 3.7867 2.1863 3.6512
Pd -1.5395 2.6666 5.4767
Pd -2.2472 3.8922 1.8256
Pd 3.0791 0.0000 5.4767
Pd 1.5395 2.6666 1.8256
Pd 4.4944 0.0000 1.8256
Pd 2.2472 3.8922 5.4767
```

SG = P6_3/mcm, No. 193


Material: LiPm2Pd
Method: DFT, PBE
State: relaxed

Geometry as extended XYZ:
```
4
Lattice="0.0000 3.6477 3.6477 3.6477 0.0000 3.6477 3.6477 3.6477 0.0000" Properties=species:S:1:pos:R:3 pbc="T T T"
Li 0.0000 0.0000 0.0000
Pm 1.8239 1.8239 1.8239
Pm 5.4716 5.4716 5.4716
Pd 3.6477 3.6477 3.6477
```

energy relative to the lowest polymorph listed for this composition = 4 meV/atom
SG = Fm-3m, No. 225


Material: Li2Pm3Pd7
Method: DFT, PBE
State: relaxed

Geometry as extended XYZ:
```
12
Lattice="2.7571 1.5918 8.4373 -2.7571 1.5918 8.4373 0.0000 -3.1837 8.4373" Properties=species:S:1:pos:R:3 pbc="T T T"
Li 0.0000 0.0000 4.1841
Li 0.0000 0.0000 21.1278
Pm 0.0000 0.0000 9.1324
Pm 0.0000 0.0000 12.6560
Pm 0.0000 0.0000 16.1795
Pd 0.0000 0.0000 0.0000
Pd 0.0000 -1.5743 6.2346
Pd -1.3634 0.7871 6.2346
Pd -1.3634 -0.7871 19.0773
Pd 1.3634 0.7871 6.2346
Pd 1.3634 -0.7871 19.0773
Pd 0.0000 1.5743 19.0773
```

SG = R-3m, No. 166


Material: Li3PmPd3
Method: DFT, PBE
State: relaxed

Geometry as extended XYZ:
```
14
Lattice="6.4301 0.0000 0.0000 0.0000 6.4301 0.0000 0.0000 0.0000 6.4301" Properties=species:S:1:pos:R:3 pbc="T T T"
Li 0.0000 1.6075 3.2150
Li 0.0000 4.8226 3.2150
Li 1.6075 3.2150 0.0000
Li 3.2150 0.0000 1.6075
Li 3.2150 0.0000 4.8226
Li 4.8226 3.2150 0.0000
Pm 0.0000 0.0000 0.0000
Pm 3.2150 3.2150 3.2150
Pd 0.0000 3.2150 1.6075
Pd 0.0000 3.2150 4.8226
Pd 1.6075 0.0000 3.2150
Pd 3.2150 1.6075 0.0000
Pd 3.2150 4.8226 0.0000
Pd 4.8226 0.0000 3.2150
```

energy relative to the lowest polymorph listed for this composition = 463 meV/atom
SG = Pm-3n, No. 223


Material: LiPm2Pd
Method: DFT, PBE
State: relaxed

Geometry as extended XYZ:
```
4
Lattice="5.0769 0.0000 0.0000 0.0000 5.0769 0.0000 0.0000 0.0000 3.7517" Properties=species:S:1:pos:R:3 pbc="T T T"
Li 0.0000 0.0000 0.0000
Pm 0.0000 2.5384 1.8759
Pm 2.5384 0.0000 1.8759
Pd 2.5384 2.5384 0.0000
```

energy relative to the lowest polymorph listed for this composition = 0 meV/atom
SG = P4/mmm, No. 123


| no. | E_form (kJ/mol of atoms) |
| --- | --- |
| 1 | -16.2 |
| 2 | -42.0 |
| 3 | -31.7 |
| 4 | -65.4 |
| 5 | -2.0 |
| 6 | -32.1 |